Record 1
This record from Alexandria via LeMat-Bulk describes a relaxed structure of Sr3Li2Sn2Bi4. The functional is GGA-PBE.

Results
- ΔE_f (eV/atom) = -0.55

abc: 4.787 4.787 18.622
angles: 90.00 90.00 120.00
Positions (direct):
Sr: 0.000 0.000 0.764
Sr: 0.000 0.000 0.000
Sr: 0.000 0.000 0.236
Li: 0.667 0.333 0.879
Li: 0.333 0.667 0.121
Sn: 0.667 0.333 0.427
Sn: 0.333 0.667 0.573
Bi: 0.667 0.333 0.118
Bi: 0.333 0.667 0.882
Bi: 0.667 0.333 0.654
Bi: 0.333 0.667 0.346



Record 2
This record from Alexandria via LeMat-Bulk describes a relaxed structure of Sr2Li3SnBi4. The functional is GGA-PBE.

Results
- ΔE_f (eV/atom) = -0.52

abc: 5.004 5.004 11.927
angles: 90.00 90.00 90.00
Positions (direct):
Sr: 0.500 0.000 0.226
Sr: 0.000 0.500 0.774
Li: 0.000 0.000 0.500
Li: 0.500 0.000 0.881
Li: 0.000 0.500 0.119
Sn: 0.500 0.500 0.500
Bi: 0.500 0.500 0.000
Bi: 0.000 0.000 0.000
Bi: 0.500 0.000 0.651
Bi: 0.000 0.500 0.349



Record 3
This record from Alexandria via LeMat-Bulk describes a relaxed structure of Sr2Li4SnBi3. The functional is GGA-PBE.

Results
- ΔE_f (eV/atom) = -0.62

abc: 4.648 4.648 12.424
angles: 90.00 90.00 90.00
Positions (direct):
Sr: 0.500 0.000 0.245
Sr: 0.000 0.500 0.755
Li: 0.500 0.500 0.000
Li: 0.000 0.000 0.000
Li: 0.500 0.000 0.640
Li: 0.000 0.500 0.360
Sn: 0.500 0.500 0.500
Bi: 0.000 0.000 0.500
Bi: 0.500 0.000 0.860
Bi: 0.000 0.500 0.140



Record 4
This record from Alexandria via LeMat-Bulk describes a relaxed structure of LiTbSnBi. The functional is GGA-PBE.

Results
- ΔE_f (eV/atom) = -0.40

abc: 5.306 5.306 5.306
angles: 60.00 60.00 60.00
Positions (direct):
Li: 0.250 0.250 0.250
Tb: 0.750 0.750 0.750
Bi: 0.000 0.000 0.000
Sn: 0.500 0.500 0.500



Record 5
This record from Alexandria via LeMat-Bulk describes a relaxed structure of Li2SnBiTe4. The functional is GGA-PBE.

abc: 4.332 7.525 7.532
angles: 109.66 90.00 90.00
Positions (direct):
Li: 0.500 0.000 0.500
Li: 0.000 0.500 0.500
Sn: 0.500 0.500 0.000
Bi: 0.000 0.000 0.000
Te: 0.500 0.259 0.265
Te: 0.500 0.741 0.735
Te: 0.000 0.248 0.737
Te: 0.000 0.752 0.263



Record 6
This record from Alexandria via LeMat-Bulk describes a relaxed structure of LiSn2BiTe4. The functional is GGA-PBE.

abc: 4.496 7.690 7.692
angles: 109.11 90.00 90.00
Positions (direct):
Li: 0.500 0.500 0.000
Sn: 0.500 0.000 0.500
Sn: 0.000 0.500 0.500
Bi: 0.000 0.000 0.000
Te: 0.500 0.259 0.243
Te: 0.500 0.741 0.757
Te: 0.000 0.259 0.758
Te: 0.000 0.741 0.242



Record 7
This record from Alexandria via LeMat-Bulk describes a relaxed structure of LiSnBiTe3. The functional is GGA-PBE.

abc: 4.389 9.151 9.681
angles: 100.16 90.00 90.00
Positions (direct):
Li: 0.250 0.077 0.590
Li: 0.750 0.923 0.410
Sn: 0.250 0.194 0.259
Sn: 0.750 0.806 0.741
Bi: 0.250 0.678 0.148
Bi: 0.750 0.322 0.852
Te: 0.750 0.905 0.118
Te: 0.250 0.095 0.882
Te: 0.250 0.769 0.495
Te: 0.750 0.231 0.505
Te: 0.750 0.418 0.174
Te: 0.250 0.582 0.826



Record 8
This record from Alexandria via LeMat-Bulk describes a relaxed structure of LiThSnBi. The functional is GGA-PBE.

Results
- ΔE_f (eV/atom) = -0.30

abc: 5.388 5.388 5.388
angles: 60.00 60.00 60.00
Positions (direct):
Li: 0.750 0.750 0.750
Bi: 0.000 0.000 0.000
Th: 0.250 0.250 0.250
Sn: 0.500 0.500 0.500



Record 9
This record from Alexandria via LeMat-Bulk describes a relaxed structure of SrLi3Bi3. The functional is GGA-PBE.

Results
- energy above the most stable polymorph in this dataset (eV/f.u.) = 0.000
- ΔE_f (eV/atom) = -0.42

abc: 6.979 6.979 10.027
angles: 69.64 69.64 60.00
Positions (direct):
Sr: 0.313 0.313 0.061
Sr: 0.687 0.687 0.939
Li: 0.575 0.775 0.573
Li: 0.775 0.076 0.573
Li: 0.076 0.575 0.573
Li: 0.924 0.425 0.427
Li: 0.225 0.924 0.427
Li: 0.425 0.225 0.427
Bi: 0.240 0.678 0.251
Bi: 0.831 0.240 0.251
Bi: 0.678 0.831 0.251
Bi: 0.322 0.169 0.749
Bi: 0.169 0.760 0.749
Bi: 0.760 0.322 0.749



Record 10
This record from Alexandria via LeMat-Bulk describes a relaxed structure of Sr2Li3Bi2. The functional is GGA-PBE.

Results
- ΔE_f (eV/atom) = -0.59

abc: 4.952 6.381 7.267
angles: 104.28 90.00 112.83
Positions (direct):
Sr: 0.859 0.717 0.239
Sr: 0.141 0.283 0.761
Li: 0.500 0.000 0.000
Li: 0.628 0.255 0.431
Li: 0.372 0.745 0.569
Bi: 0.846 0.693 0.759
Bi: 0.154 0.307 0.241



Record 11
This record from Alexandria via LeMat-Bulk describes a relaxed structure of SrLi2Bi. The functional is GGA-PBE.

Results
- ΔE_f (eV/atom) = -0.32

abc: 4.954 4.954 10.712
angles: 76.63 76.63 90.00
Positions (direct):
Sr: 0.500 0.500 0.000
Sr: 0.250 0.750 0.500
Bi: 0.000 0.000 0.000
Bi: 0.750 0.250 0.500
Li: 0.768 0.125 0.250
Li: 0.982 0.625 0.250
Li: 0.375 0.232 0.750
Li: 0.875 0.018 0.750



Record 12
This record from Alexandria via LeMat-Bulk describes a relaxed structure of Sr2Li5Bi3. The functional is GGA-PBE.

Results
- ΔE_f (eV/atom) = -0.65

abc: 4.886 7.803 14.316
angles: 90.00 99.82 90.00
Positions (direct):
Sr: 0.483 0.776 0.967
Sr: 0.175 0.732 0.350
Sr: 0.825 0.232 0.650
Sr: 0.517 0.276 0.033
Li: 0.404 0.412 0.808
Li: 0.271 0.484 0.543
Li: 0.729 0.984 0.457
Li: 0.124 0.280 0.249
Li: 0.298 0.868 0.597
Li: 0.944 0.114 0.889
Li: 0.702 0.368 0.403
Li: 0.876 0.780 0.751
Li: 0.056 0.614 0.111
Li: 0.596 0.912 0.192
Bi: 0.774 0.660 0.548
Bi: 0.609 0.541 0.219
Bi: 0.051 0.999 0.101
Bi: 0.226 0.160 0.452
Bi: 0.949 0.499 0.899
Bi: 0.391 0.041 0.781



Which VASP energy belongs to each record? In order, -3.50, -3.39, -3.29, -4.00, -3.54, -3.68, -3.58, -4.61, -3.14, -3.00, -2.67, -3.11 eV/atom.
Which total magnetization belongs to each record? In order, 0.00, 0.00, 0.00, 0.00, 0.00, 0.00, 0.00, 0.00, 0.00, 0.38, 0.00, 0.00 μB/f.u..